Material: Tb15Sm4Al
Method: DFT, GGA-PBE
State: relaxed

```
Tb15Sm4Al
1.0
4.9851 0.0000 0.0000
0.0000 4.9851 0.0000
0.0000 0.0000 25.2330
Sm Tb Al
4 15 1
direct
0.0000 0.0000 0.1954 Sm
0.0000 0.0000 0.6015 Sm
0.0000 0.0000 0.8046 Sm
0.0000 0.0000 0.3985 Sm
0.5000 0.0000 0.5000 Tb
0.5000 0.5000 0.3977 Tb
0.5000 0.0000 0.2964 Tb
0.5000 0.0000 0.9073 Tb
0.0000 0.5000 0.0927 Tb
0.5000 0.0000 0.7036 Tb
0.5000 0.5000 0.1932 Tb
0.5000 0.0000 0.0927 Tb
0.5000 0.5000 0.6023 Tb
0.0000 0.5000 0.2964 Tb
0.0000 0.5000 0.7036 Tb
0.0000 0.5000 0.5000 Tb
0.5000 0.5000 0.0000 Tb
0.0000 0.5000 0.9073 Tb
0.5000 0.5000 0.8068 Tb
0.0000 0.0000 0.0000 Al
```

Computed properties:
The value obtained for the total magnetic moment is 0.0 μB/f.u. The calculation puts the energy of formation from the pure elements at -0.011 eV/atom. For the volume, the calculation gives 627.07 Å³ per cell.